Computed, not measured: an optimized crystal structure of Rb2CdGaSb2 at the PBE level of DFT.

Space-group type = Ibam
Raw total energy = -32.60 eV per cell
Formation energy without anion corrections = -2.2 eV per formula unit

Geometry as CIF:
```
data_Rb2CdGaSb2
_cell_length_a 9.687
_cell_length_b 9.687
_cell_length_c 9.687
_cell_angle_alpha 136.58
_cell_angle_beta 62.99
_cell_angle_gamma 136.71
_symmetry_space_group_name_H-M 'P 1'
_symmetry_Int_Tables_number 1
loop_
_symmetry_equiv_pos_as_xyz
'x,y,z'
loop_
_atom_site_label
_atom_site_type_symbol
_atom_site_fract_x
_atom_site_fract_y
_atom_site_fract_z
_atom_site_occupancy
Rb1 Rb 0.168 0.248 0.415 1
Rb2 Rb 0.332 0.748 0.080 1
Rb3 Rb 0.668 0.252 0.920 1
Rb4 Rb 0.832 0.752 0.585 1
Cd1 Cd 0.250 0.250 0.000 1
Cd2 Cd 0.750 0.750 0.000 1
Ga1 Ga 0.250 0.750 0.500 1
Ga2 Ga 0.750 0.250 0.500 1
Sb1 Sb 0.093 0.739 0.832 1
Sb2 Sb 0.407 0.239 0.646 1
Sb3 Sb 0.593 0.761 0.354 1
Sb4 Sb 0.907 0.261 0.168 1
```